1.
DFT (PBE-GGA) results for a relaxed structure of Fe2Ni15Rh2.

Cell lengths 6.1913, 6.1913, 6.1913 Å; angles 81.74, 81.74, 81.74 degrees
Atoms (fractional coordinates):
Fe1 0.1696 0.1696 0.1696
Fe2 0.8304 0.8304 0.8304
Ni1 0.0000 0.5000 0.5000
Ni2 0.1534 0.1534 0.6683
Ni3 0.1534 0.6683 0.1534
Ni4 0.1803 0.5000 0.8197
Ni5 0.1803 0.8197 0.5000
Ni6 0.3317 0.8466 0.8466
Ni7 0.5000 0.0000 0.5000
Ni8 0.5000 0.1803 0.8197
Ni9 0.5000 0.5000 0.0000
Ni10 0.5000 0.8197 0.1803
Ni11 0.6683 0.1534 0.1534
Ni12 0.8197 0.1803 0.5000
Ni13 0.8197 0.5000 0.1803
Ni14 0.8466 0.3317 0.8466
Ni15 0.8466 0.8466 0.3317
Rh1 0.3976 0.3976 0.3976
Rh2 0.6024 0.6024 0.6024

## Properties
The total DFT energy (no corrections) is -6.05 eV/atom. The formation energy comes out at 3.43 eV per formula unit. For the mass density, the calculation gives 8.6 g/cm3. The polymorph energy (0 for the lowest one) comes out at 0.0 meV per atom.



2.
DFT (PBE-GGA) results for a relaxed structure of FeNi4Rh.

Cell lengths 4.6589, 4.6589, 4.6589 Å; angles 60.00, 60.00, 60.00 degrees
Atoms (fractional coordinates):
Fe1 0.0000 0.0000 0.0000
Ni1 0.3751 0.3751 0.3751
Ni2 0.3751 0.3751 0.8747
Ni3 0.3751 0.8747 0.3751
Ni4 0.8747 0.3751 0.3751
Rh1 0.7500 0.7500 0.7500

## Properties
The total DFT energy (no corrections) is -6.43 eV/atom. The formation energy comes out at 0.37 eV per formula unit. For the mass density, the calculation gives 9.1 g/cm3. The polymorph energy (0 for the lowest one) comes out at 101.3 meV per atom.



3.
DFT (PBE-GGA) results for a relaxed structure of FeNiRh2.

Cell lengths 2.6364, 4.3328, 4.6800 Å; angles 90.00, 92.55, 90.00 degrees
Atoms (fractional coordinates):
Fe1 0.0000 0.0000 0.0000
Ni1 0.5000 0.0000 0.5000
Rh1 0.2529 0.5000 0.7464
Rh2 0.7471 0.5000 0.2536

## Properties
The total DFT energy (no corrections) is -7.11 eV/atom. The formation energy comes out at 0.52 eV per formula unit. For the mass density, the calculation gives 10.0 g/cm3.